[1]
Material: Ce2NiB10
Method: DFT, PBE
State: optimized geometry

Output
Theoretical density ... 5.71 g cm⁻³
DFT total energy ... -7.072 eV per atom

Cell lengths 5.6036, 11.1435, 4.1607 Å; angles 90.00, 90.00, 90.00 degrees
Closest atoms and distances in Å follow each position.
Space group Pbam (No. 55)
Symmetry-distinct sites (fractional):
1 Ce 0.1875 0.1379 0.0000  20 B 2.86-3.00, 2 Ni 3.12
2 Ni 0.0000 0.5000 0.5000  8 B 2.10-2.15
3 B 0.0322 0.3124 0.5000  4 B 1.66-1.77
4 B 0.1254 0.9594 0.5000  4 B 1.67-1.79
5 B 0.1561 0.8022 0.5000  5 B 1.66-1.76
6 B 0.2007 0.3861 0.1988  4 B 1.65-1.79

[2]
Material: CeNi12B6
Method: DFT, PBE
State: optimized geometry

Output
Theoretical density ... 7.75 g cm⁻³
DFT total energy ... -6.463 eV per atom
Distance to the lowest polymorph of the same formula ... 0 meV per atom

Cell lengths 9.5888, 7.3775, 11.0124 Å; angles 90.00, 90.00, 90.00 degrees
Closest atoms and distances in Å follow each position.
Space group Cmc2_1 (No. 36)
Symmetry-distinct sites (fractional):
1 Ce 0.0000 0.1684 0.0000  16 Ni 3.02-3.37, 6 B 3.03-3.30
2 Ni 0.0000 0.2184 0.3990  3 B 2.00-2.08
3 Ni 0.0000 0.4347 0.5792  3 B 2.10-2.19
4 Ni 0.1311 0.3272 0.7631  4 B 1.99-2.10
5 Ni 0.1306 0.3416 0.2211  3 B 2.06-2.15
6 Ni 0.1331 0.0125 0.2419  3 B 2.03-2.10
7 Ni 0.1823 0.1875 0.5601  4 B 2.02-2.12
8 Ni 0.1930 0.4642 0.4295  4 B 2.02-2.10
9 B 0.0000 0.1637 0.6614  7 Ni 2.03-2.19
10 B 0.0000 0.4864 0.3405  7 Ni 2.05-2.11
11 B 0.2062 0.1926 0.3750  7 Ni 1.99-2.15
12 B 0.2147 0.4606 0.6117  7 Ni 2.02-2.12

[3]
Material: CeNi2B2
Method: DFT, PBE
State: optimized geometry

Output
Theoretical density ... 7.84 g cm⁻³
DFT total energy ... -6.495 eV per atom

Cell lengths 3.3928, 3.9273, 17.7419 Å; angles 90.00, 90.00, 90.00 degrees
Closest atoms and distances in Å follow each position.
Space group Imma (No. 74)
Symmetry-distinct sites (fractional):
1 Ce 0.0000 0.2500 0.1721  10 B 2.71-2.78, 4 Ni 2.74-2.90
2 Ni 0.0000 0.2500 0.4490  2 B 2.28, 2 Ni 2.49
3 Ni 0.0000 0.2500 0.9482  2 B 2.05
4 B 0.0000 0.2500 0.6162  1 B 1.89, 2 Ni 2.05
5 B 0.0000 0.2500 0.7229  3 B 1.89-1.95

[4]
Material: CeNi22B6
Method: DFT, PBE
State: optimized geometry

Output
Theoretical density ... 8.36 g cm⁻³
DFT total energy ... -6.174 eV per atom

Cell lengths 10.5932, 10.5932, 10.5932 Å; angles 90.00, 90.00, 90.00 degrees
Closest atoms and distances in Å follow each position.
Space group Fm-3m (No. 225)
Symmetry-distinct sites (fractional):
1 Ce 0.0000 0.0000 0.0000  12 Ni 2.58
2 Ni 0.0000 0.1721 0.1721  2 B 2.12, 1 Ni 2.33
3 Ni 0.1173 0.1173 0.3827  3 B 2.10
4 Ni 0.2500 0.2500 0.2500  4 Ni 2.43
5 B 0.0000 0.0000 0.2750  8 Ni 2.10-2.12

[5]
Material: CeNi7B5
Method: DFT, PBE
State: optimized geometry

Output
Theoretical density ... 7.67 g cm⁻³
DFT total energy ... -6.248 eV per atom

Cell lengths 4.7073, 8.1660, 6.8160 Å; angles 90.00, 90.00, 90.00 degrees
Closest atoms and distances in Å follow each position.
Space group Imm2 (No. 44)
Symmetry-distinct sites (fractional):
1 Ce 0.0000 0.0000 0.0000  2 Ni 2.25-2.32
2 Ni 0.0000 0.0000 0.3402  1 Ni 2.25, 1 Ce 2.32, 6 B 2.34-2.48
3 Ni 0.0000 0.0000 0.6705  1 Ce 2.25, 5 Ni 2.25-2.49
4 Ni 0.0000 0.2842 0.5669  5 B 2.06-2.23
5 Ni 0.0000 0.3421 0.9548  3 B 2.02-2.15
6 Ni 0.0000 0.5000 0.2902  4 B 2.14
7 B 0.0000 0.5000 0.7264  4 Ni 2.02-2.07
8 B 0.1796 0.2601 0.2656  1 B 1.69

[6]
Material: CeNi2B
Method: DFT, PBE
State: optimized geometry

Output
Theoretical density ... 7.96 g cm⁻³
DFT total energy ... -6.329 eV per atom

Cell lengths 3.6559, 3.6559, 14.5132 Å; angles 90.00, 90.00, 120.00 degrees
Closest atoms and distances in Å follow each position.
Space group R-3m (No. 166, hexagonal axes)
Symmetry-distinct sites (fractional):
1 Ce 0.0000 0.0000 0.0000  8 Ni 2.81-2.98
2 Ni 0.0000 0.0000 0.2051  3 B 2.18, 3 Ni 2.39
3 B 0.0000 0.0000 0.5000  6 Ni 2.18